(1)
VASP calculation (PBE-GGA) on crystalline Sr2ErGa3Pt4 at its relaxed geometry.

Computed properties:
* theoretical density: 10.2 g cm⁻³

a b c (Å): 4.411 4.411 11.115
angles (deg): 90.00 90.00 90.00
Space group P-4m2 (No. 115)
One atom of each set of equivalent atoms:
Sr 0.000 0.500 0.228 x2
Er 0.000 0.000 0.500 x1
Ga 0.000 0.500 0.882 x2
Ga 0.500 0.500 0.500 x1
Pt 0.000 0.000 0.000 x1
Pt 0.000 0.500 0.651 x2
Pt 0.500 0.500 0.000 x1

(2)
VASP calculation (PBE-GGA) on crystalline DyB2Ru at its relaxed geometry.

Computed properties:
* excess energy over the best structure of this formula in the dataset: 1.21 eV/f.u.
* theoretical density: 8.7 g cm⁻³

a b c (Å): 6.004 3.957 5.170
angles (deg): 90.00 117.49 90.00
Space group C2/m (No. 12)
One atom of each set of equivalent atoms:
Dy 0.000 0.000 0.000 x2
B 0.167 0.000 0.598 x4
Ru 0.000 0.500 0.500 x2

(3)
VASP calculation (PBE-GGA) on crystalline K2Na2Cd at its relaxed geometry.

Computed properties:
* excess energy over the best structure of this formula in the dataset: 0.66 eV/f.u.
* theoretical density: 1.6 g cm⁻³

a b c (Å): 9.516 9.516 5.526
angles (deg): 90.00 90.00 90.00
Space group P4/mbm (No. 127)
One atom of each set of equivalent atoms:
K 0.155 0.345 0.000 x4
Na 0.152 0.652 0.500 x4
Cd 0.000 0.000 0.000 x2

(4)
VASP calculation (PBE-GGA) on crystalline Pr7Nd12Er at its relaxed geometry.

Computed properties:
* excess energy over the best structure of this formula in the dataset: 7.63 eV/f.u.
* theoretical density: 6.0 g cm⁻³

a b c (Å): 11.703 11.703 11.703
angles (deg): 90.00 90.00 90.00
Space group Im-3 (No. 204)
One atom of each set of equivalent atoms:
Pr 0.000 0.000 0.500 x6
Pr 0.250 0.250 0.250 x8
Nd 0.000 0.245 0.246 x24
Er 0.000 0.000 0.000 x2

no.,formation enthalpy at 0 K (eV/atom)
1,-0.912
2,-0.306
3,0.132
4,0.593